A relaxed structure of YTm2In3IrAu2, computed with PBE.

Calculated values
magnetic moment: 0.003 μB/atom
symmetry: Amm2, No. 38
uncorrected energy: -5.069 eV/atom

a = 3.900 Å, b = 7.701 Å, c = 7.701 Å
α = 120.05°, β = 90.00°, γ = 90.00°
Atoms (fractional coordinates):
In 0.500 0.999 0.743
In 0.500 0.743 0.999
In 0.500 0.258 0.258
Au 0.500 0.330 0.668
Au 0.500 0.668 0.330
Tm 0.000 0.000 0.394
Tm 0.000 0.394 0.000
Ir 0.000 0.004 0.004
Y 0.000 0.603 0.603